# 1
The following is a DFT calculation (PBE) of an optimized crystal structure of Mg3In12Pb.

* energy of formation from the pure elements: -0.014 eV/atom

a = 4.561 Å, b = 4.561 Å, c = 20.044 Å
α = 90.00°, β = 90.00°, γ = 90.00°
Sites, in units of the cell vectors:
Mg (0.000, 0.000, 0.000)
Mg (0.000, 0.000, 0.240)
Mg (0.000, 0.000, 0.760)
In (0.000, 0.500, 0.120)
In (0.000, 0.500, 0.364)
In (0.000, 0.500, 0.636)
In (0.000, 0.500, 0.880)
In (0.500, 0.000, 0.120)
In (0.500, 0.000, 0.364)
In (0.500, 0.000, 0.636)
In (0.500, 0.000, 0.880)
In (0.500, 0.500, 0.000)
In (0.500, 0.500, 0.241)
In (0.500, 0.500, 0.500)
In (0.500, 0.500, 0.759)
Pb (0.000, 0.000, 0.500)

# 2
The following is a DFT calculation (PBE) of an optimized crystal structure of Hf2ReTe.

* E_form (uncorrected): 0.72 eV per atom

a = 6.002 Å, b = 6.002 Å, c = 13.411 Å
α = 90.00°, β = 90.00°, γ = 90.00°
Sites, in units of the cell vectors:
Hf (0.190, 0.250, 0.125)
Hf (0.250, 0.690, 0.375)
Hf (0.250, 0.810, 0.875)
Hf (0.310, 0.250, 0.625)
Hf (0.690, 0.750, 0.625)
Hf (0.750, 0.190, 0.875)
Hf (0.750, 0.310, 0.375)
Hf (0.810, 0.750, 0.125)
Re (0.000, 0.000, 0.000)
Re (0.000, 0.500, 0.250)
Re (0.500, 0.000, 0.750)
Re (0.500, 0.500, 0.500)
Te (0.000, 0.000, 0.500)
Te (0.000, 0.500, 0.750)
Te (0.500, 0.000, 0.250)
Te (0.500, 0.500, 0.000)

# 3
The following is a DFT calculation (PBE) of an optimized crystal structure of MgAsP2Pd.

* energy of formation from the pure elements: 0.528 eV/atom

a = 4.803 Å, b = 4.803 Å, c = 4.682 Å
α = 90.00°, β = 90.00°, γ = 90.00°
Sites, in units of the cell vectors:
Mg (0.000, 0.000, 0.000)
As (0.500, 0.500, 0.500)
P (0.000, 0.500, 0.500)
P (0.500, 0.000, 0.500)
Pd (0.500, 0.500, 0.000)

E_tot for the records above, in order: -2.598 -8.159 -3.923 eV/atom
Calculated volume for the records above, in order: 26.1 30.2 21.6 A^3/atom